No. 1
DyHoZn2Pt4 | PBE-GGA | relaxed

Values from the calculation:
- E_form (eV/atom) = -0.8599
- calculated total energy (eV per cell) = -42.81
- crystal system = tetragonal
- theoretical density (Mg/m³) = 14.21
- calculated volume (A^3/atom) = 18.090

a b c (Å): 4.674 4.674 6.625
angles (deg): 90.00 90.00 90.00
Element x y z (fractional)
Dy: 0.000 0.000 0.000
Ho: 0.500 0.500 0.500
Zn: 0.000 0.000 0.500
Zn: 0.500 0.500 0.000
Pt: 0.000 0.500 0.251
Pt: 0.000 0.500 0.749
Pt: 0.500 0.000 0.251
Pt: 0.500 0.000 0.749

---

No. 2
DyHoPu | PBE-GGA | relaxed

Values from the calculation:
- offset from the most stable computed form (kJ/mol of formula units) = 0
- E_form (eV/atom) = 0.8129
- calculated total energy (eV per cell) = -20.87
- crystal system = cubic
- theoretical density (Mg/m³) = 9.19
- calculated volume (A^3/atom) = 34.400

a b c (Å): 5.265 5.265 5.265
angles (deg): 60.00 60.00 60.00
Element x y z (fractional)
Dy: 0.000 0.000 0.000
Ho: 0.500 0.500 0.500
Pu: 0.250 0.250 0.250

---

No. 3
DyHoS2 | PBE-GGA | relaxed

Values from the calculation:
- calculated total energy (eV per cell) = -25.37
- crystal system = tetragonal
- theoretical density (Mg/m³) = 7.82
- calculated volume (A^3/atom) = 20.794

a b c (Å): 3.888 3.888 5.502
angles (deg): 90.00 90.00 90.00
Element x y z (fractional)
Dy: 0.000 0.000 0.000
Ho: 0.500 0.500 0.500
S: 0.000 0.000 0.500
S: 0.500 0.500 0.000

---

No. 4
DyHoSb2 | PBE-GGA | relaxed

Values from the calculation:
- calculated total energy (eV per cell) = -43.83
- crystal system = monoclinic
- theoretical density (Mg/m³) = 8.02
- calculated volume (A^3/atom) = 29.547

a b c (Å): 6.183 6.183 6.184
angles (deg): 90.00 90.21 90.00
Element x y z (fractional)
Dy: 0.249 0.250 0.000
Dy: 0.751 0.750 0.000
Ho: 0.250 0.750 0.500
Ho: 0.750 0.250 0.500
Sb: 0.250 0.250 0.500
Sb: 0.251 0.750 0.000
Sb: 0.749 0.250 0.000
Sb: 0.750 0.750 0.500

---

calculated volume of number 2 (DyHoPu)? 34.400 A^3/atom

---

Repeat the fourth record exactly.
DyHoSb2 | PBE-GGA | relaxed

Values from the calculation:
- calculated total energy (eV per cell) = -43.83
- crystal system = monoclinic
- theoretical density (Mg/m³) = 8.02
- calculated volume (A^3/atom) = 29.547

a b c (Å): 6.183 6.183 6.184
angles (deg): 90.00 90.21 90.00
Element x y z (fractional)
Dy: 0.249 0.250 0.000
Dy: 0.751 0.750 0.000
Ho: 0.250 0.750 0.500
Ho: 0.750 0.250 0.500
Sb: 0.250 0.250 0.500
Sb: 0.251 0.750 0.000
Sb: 0.749 0.250 0.000
Sb: 0.750 0.750 0.500

---

What is the theoretical density in the third record? 7.82 Mg/m³

---

Please write out number 3 again, unchanged.
DyHoS2 | PBE-GGA | relaxed

Values from the calculation:
- calculated total energy (eV per cell) = -25.37
- crystal system = tetragonal
- theoretical density (Mg/m³) = 7.82
- calculated volume (A^3/atom) = 20.794

a b c (Å): 3.888 3.888 5.502
angles (deg): 90.00 90.00 90.00
Element x y z (fractional)
Dy: 0.000 0.000 0.000
Ho: 0.500 0.500 0.500
S: 0.000 0.000 0.500
S: 0.500 0.500 0.000